(1)
TbTmAu: optimized geometry, GGA-PBE.

Cell and atoms, written as POSCAR:
```
TbTmAu
1.0
0.0000 3.4750 3.4750
3.4750 0.0000 3.4750
3.4750 3.4750 0.0000
Tb Tm Au
1 1 1
Cartesian
0.0000 0.0000 0.0000
3.4750 3.4750 3.4750
1.7375 1.7375 1.7375
```

Output
For the formation energy, the calculation gives -1.379 eV/f.u. The symmetry is No. 216. For the calculated volume, the calculation gives 28.0 Å³/atom.

***

(2)
TbTmAu4: optimized geometry, GGA-PBE.

Cell and atoms, written as POSCAR:
```
TbTmAu4
1.0
3.7186 0.0000 0.0000
0.0000 3.7186 0.0000
0.0000 0.0000 9.0387
Tb Tm Au
1 1 4
Cartesian
0.0000 0.0000 0.0000
1.8593 1.8593 4.5193
0.0000 0.0000 3.0558
0.0000 0.0000 5.9829
1.8593 1.8593 1.5166
1.8593 1.8593 7.5221
```

Output
For the formation energy, the calculation gives -5.247 eV/f.u. The symmetry is No. 123. For the calculated volume, the calculation gives 20.8 Å³/atom.

***

(3)
TbTmAu6: optimized geometry, GGA-PBE.

Cell and atoms, written as POSCAR:
```
TbTmAu6
1.0
5.0253 0.0000 0.0000
0.0000 6.1511 0.0000
0.0000 0.0000 5.1326
Tb Tm Au
1 1 6
Cartesian
0.0000 0.0000 0.0000
2.5126 3.0756 1.6077
0.0000 1.5946 2.5404
0.0000 3.0756 5.1045
0.0000 4.5565 2.5404
2.5126 0.0000 1.6755
2.5126 1.5295 4.2047
2.5126 4.6216 4.2047
```

Output
For the formation energy, the calculation gives -5.807 eV/f.u. The symmetry is No. 25. For the calculated volume, the calculation gives 19.8 Å³/atom.

***

(4)
TbUAu: optimized geometry, GGA-PBE.

Cell and atoms, written as POSCAR:
```
TbUAu
1.0
0.0000 3.4382 3.4382
3.4382 0.0000 3.4382
3.4382 3.4382 0.0000
Tb U Au
1 1 1
Cartesian
0.0000 0.0000 0.0000
5.1573 5.1573 5.1573
3.4382 3.4382 3.4382
```

Output
For the formation energy, the calculation gives 1.793 eV/f.u. The symmetry is No. 216. For the calculated volume, the calculation gives 27.1 Å³/atom.

***

(5)
TbYAu6: optimized geometry, GGA-PBE.

Cell and atoms, written as POSCAR:
```
TbYAu6
1.0
5.0420 0.0000 0.0000
0.0000 6.1905 0.0000
0.0000 0.0000 5.1338
Tb Y Au
1 1 6
Cartesian
0.0000 0.0000 0.0000
2.5210 3.0952 3.5396
0.0000 1.5944 2.5920
0.0000 3.0952 0.0661
0.0000 4.5960 2.5920
2.5210 0.0000 3.4735
2.5210 1.5009 0.9477
2.5210 4.6895 0.9477
```

Output
For the formation energy, the calculation gives -5.756 eV/f.u. The symmetry is No. 25. For the calculated volume, the calculation gives 20.0 Å³/atom.

***

(6)
TbYAu4: optimized geometry, GGA-PBE.

Cell and atoms, written as POSCAR:
```
TbYAu4
1.0
3.7391 0.0000 0.0000
0.0000 3.7391 0.0000
0.0000 0.0000 9.0651
Tb Y Au
1 1 4
Cartesian
0.0000 0.0000 0.0000
1.8696 1.8696 4.5326
0.0000 0.0000 3.0323
0.0000 0.0000 6.0328
1.8696 1.8696 1.5001
1.8696 1.8696 7.5650
```

Output
For the formation energy, the calculation gives -5.174 eV/f.u. The symmetry is No. 123. For the calculated volume, the calculation gives 21.1 Å³/atom.

***

(7)
TbYAu2: optimized geometry, GGA-PBE.

Cell and atoms, written as POSCAR:
```
TbYAu2
1.0
4.6657 0.0000 0.0000
0.0000 1.8613 5.4904
0.0000 -1.8613 5.4904
Tb Y Au
1 1 2
Cartesian
0.0000 0.0000 0.0000
2.3329 0.0000 7.9129
0.0000 0.0000 2.9809
2.3329 0.0000 4.9333
```

Output
For the formation energy, the calculation gives -3.526 eV/f.u. The symmetry is No. 38. For the calculated volume, the calculation gives 23.8 Å³/atom.

***

(8)
TbYAu: optimized geometry, GGA-PBE.

Cell and atoms, written as POSCAR:
```
TbYAu
1.0
0.0000 3.5054 3.5054
3.5054 0.0000 3.5054
3.5054 3.5054 0.0000
Tb Y Au
1 1 1
Cartesian
0.0000 0.0000 0.0000
3.5054 3.5054 3.5054
1.7527 1.7527 1.7527
```

Output
For the formation energy, the calculation gives -1.332 eV/f.u. The symmetry is No. 216. For the calculated volume, the calculation gives 28.7 Å³/atom.

***

(9)
TbZnAu4: optimized geometry, GGA-PBE.

Cell and atoms, written as POSCAR:
```
TbZnAu4
1.0
2.7767 1.6031 4.5296
-2.7767 1.6031 4.5296
0.0000 -3.2062 4.5296
Tb Zn Au
1 1 4
Cartesian
0.0000 0.0000 0.0000
0.0000 0.0000 10.1746
0.0000 0.0000 5.1072
0.0000 -1.5981 7.3637
-1.3840 0.7991 7.3637
1.3840 0.7991 7.3637
```

Output
For the formation energy, the calculation gives -2.243 eV/f.u. The symmetry is No. 160. For the calculated volume, the calculation gives 20.2 Å³/atom.

***

(10)
Tb2Zn15Au2: optimized geometry, GGA-PBE.

Cell and atoms, written as POSCAR:
```
Tb2Zn15Au2
1.0
4.5099 2.6038 4.4039
-4.5099 2.6038 4.4039
0.0000 -5.2076 4.4039
Tb Zn Au
2 15 2
Cartesian
0.0000 0.0000 2.1173
0.0000 0.0000 11.0945
-2.2550 -1.3019 4.4039
0.0000 -2.6939 4.2155
-2.3330 1.3470 4.2155
-1.3367 -2.3153 6.6059
-2.6734 0.0000 6.6059
-2.3330 -1.3470 8.9964
-2.2550 1.3019 8.8079
1.3367 -2.3153 6.6059
0.0000 2.6038 4.4039
-1.3367 2.3153 6.6059
2.3330 1.3470 4.2155
2.6734 0.0000 6.6059
1.3367 2.3153 6.6059
2.3330 -1.3470 8.9964
0.0000 2.6939 8.9964
0.0000 0.0000 5.1419
0.0000 0.0000 8.0699
```

Output
For the formation energy, the calculation gives -5.471 eV/f.u. The symmetry is No. 166. For the calculated volume, the calculation gives 16.3 Å³/atom.

***

(11)
TbZn6Au6: optimized geometry, GGA-PBE.

Cell and atoms, written as POSCAR:
```
TbZn6Au6
1.0
-2.6271 4.5372 4.6962
2.6271 -4.5372 4.6962
2.6271 4.5372 -4.6962
Tb Zn Au
1 6 6
Cartesian
0.0000 0.0000 0.0000
1.3136 2.2686 -2.3481
1.3136 -2.2686 2.3481
2.6271 2.2027 0.0000
-1.3136 2.2686 2.3481
1.3136 2.2686 2.3481
0.0000 2.3345 4.6962
2.6271 0.0000 1.6311
0.0000 3.0404 0.0000
0.0000 0.0000 3.1785
0.0000 0.0000 6.2139
0.0000 6.0339 0.0000
0.0000 4.5372 3.0651
```

Output
For the formation energy, the calculation gives -4.809 eV/f.u. The symmetry is No. 71. For the calculated volume, the calculation gives 17.2 Å³/atom.

***

(12)
TbZrZn2Au4: optimized geometry, GGA-PBE.

Cell and atoms, written as POSCAR:
```
TbZrZn2Au4
1.0
4.7725 0.0000 0.0000
0.0000 4.7725 0.0000
0.0000 0.0000 6.7238
Tb Zr Zn Au
1 1 2 4
Cartesian
0.0000 0.0000 0.0000
2.3862 2.3862 3.3619
0.0000 0.0000 3.3619
2.3862 2.3862 0.0000
0.0000 2.3862 1.7789
0.0000 2.3862 4.9449
2.3862 0.0000 1.7789
2.3862 0.0000 4.9449
```

Output
For the formation energy, the calculation gives -4.405 eV/f.u. The symmetry is No. 123. For the calculated volume, the calculation gives 19.1 Å³/atom.

***

Question: Which value of calculated volume does entry 7 give?
Answer: 23.8 Å³/atom